[1]
An optimized crystal structure of Nd2Ga4CuRh3. Source: Alexandria via LeMat-Bulk, functional PBE.

The structure in POSCAR format:
```
Nd2Ga4CuRh3
1.0
4.2744 0.0000 0.0000
0.0000 4.2744 0.0000
0.0000 0.0000 10.2576
Nd Ga Cu Rh
2 4 1 3
Cartesian
0.0000 2.1372 2.5187 Nd
2.1372 0.0000 7.7389 Nd
0.0000 0.0000 5.1288 Ga
0.0000 2.1372 8.9575 Ga
2.1372 0.0000 1.3001 Ga
2.1372 2.1372 5.1288 Ga
2.1372 2.1372 0.0000 Cu
0.0000 0.0000 0.0000 Rh
0.0000 2.1372 6.4676 Rh
2.1372 0.0000 3.7900 Rh
```

Output
For the energy of formation, the calculation gives -681.0 meV/atom. The total energy is -54.6 eV per cell. The volume comes out at 187 Å³/cell.

---

[2]
An optimized crystal structure of Nd2Ga4Cu3Rh. Source: Alexandria via LeMat-Bulk, functional PBE.

The structure in POSCAR format:
```
Nd2Ga4Cu3Rh
1.0
4.1922 0.0000 0.0000
0.0000 4.1922 0.0000
0.0000 0.0000 10.3713
Nd Ga Cu Rh
2 4 3 1
Cartesian
0.0000 2.0961 2.5891 Nd
2.0961 0.0000 7.7822 Nd
0.0000 0.0000 0.0000 Ga
0.0000 2.0961 6.5437 Ga
2.0961 0.0000 3.8276 Ga
2.0961 2.0961 0.0000 Ga
0.0000 2.0961 8.9954 Cu
2.0961 0.0000 1.3759 Cu
2.0961 2.0961 5.1856 Cu
0.0000 0.0000 5.1856 Rh
```

Output
For the energy of formation, the calculation gives -516.6 meV/atom. The total energy is -46.4 eV per cell. The volume comes out at 182 Å³/cell.